(1)
Material: Pm2Er3Se6
Method: DFT, PBE
State: optimized geometry

```
data_Pm2Er3Se6
_cell_length_a 7.0851
_cell_length_b 12.2101
_cell_length_c 7.1157
_cell_angle_alpha 90.00
_cell_angle_beta 109.33
_cell_angle_gamma 90.00
_symmetry_space_group_name_H-M 'C 1 2/m 1'
_symmetry_Int_Tables_number 12
_symmetry_space_group_name_Hall '-C 2y'
loop_
_atom_site_label
_atom_site_type_symbol
_atom_site_fract_x
_atom_site_fract_y
_atom_site_fract_z
Pm1 Pm 0.0000 0.1649 0.0000
Er1 Er 0.0000 0.0000 0.5000
Er2 Er 0.0000 0.3339 0.5000
Se1 Se 0.2398 0.5000 0.7438
Se2 Se 0.2503 0.1636 0.7408
```

Properties
- Volume: 580.9 Å³/cell
- ΔE to the lowest computed polymorph: 0 meV/atom
- Uncorrected formation energy: -20.47 eV/f.u.
- Final energy: -5.870 eV/atom

(2)
Material: SiOsCl2
Method: DFT, PBE
State: optimized geometry

```
data_SiOsCl2
_cell_length_a 4.5285
_cell_length_b 4.5285
_cell_length_c 3.1329
_cell_angle_alpha 90.00
_cell_angle_beta 90.00
_cell_angle_gamma 90.00
_symmetry_space_group_name_H-M 'P 4/m m m'
_symmetry_Int_Tables_number 123
_symmetry_space_group_name_Hall '-P 4 2'
loop_
_atom_site_label
_atom_site_type_symbol
_atom_site_fract_x
_atom_site_fract_y
_atom_site_fract_z
Si1 Si 0.0000 0.0000 0.0000
Os1 Os 0.5000 0.5000 0.0000
Cl1 Cl 0.0000 0.5000 0.5000
```

Properties
- Volume: 64.2 Å³/cell
- ΔE to the lowest computed polymorph: 1382 meV/atom
- Uncorrected formation energy: 4.74 eV/f.u.
- Final energy: -3.903 eV/atom

(3)
Material: Be3MoC
Method: DFT, PBE
State: optimized geometry

```
data_Be3MoC
_cell_length_a 4.2687
_cell_length_b 4.2687
_cell_length_c 4.2687
_cell_angle_alpha 90.00
_cell_angle_beta 90.00
_cell_angle_gamma 90.00
_symmetry_space_group_name_H-M 'P m -3 m'
_symmetry_Int_Tables_number 221
_symmetry_space_group_name_Hall '-P 4 2 3'
loop_
_atom_site_label
_atom_site_type_symbol
_atom_site_fract_x
_atom_site_fract_y
_atom_site_fract_z
Be1 Be 0.0000 0.0000 0.5000
Mo1 Mo 0.0000 0.0000 0.0000
C1 C 0.5000 0.5000 0.5000
```

Properties
- Volume: 77.8 Å³/cell
- ΔE to the lowest computed polymorph: 2033 meV/atom
- DFT formation energy: 2.628 eV per atom
- Final energy: -3.619 eV/atom

(4)
Material: CsRb2TaB
Method: DFT, PBE
State: optimized geometry

```
data_CsRb2TaB
_cell_length_a 6.9206
_cell_length_b 6.9206
_cell_length_c 6.4827
_cell_angle_alpha 90.00
_cell_angle_beta 90.00
_cell_angle_gamma 90.00
_symmetry_space_group_name_H-M 'P 4/m m m'
_symmetry_Int_Tables_number 123
_symmetry_space_group_name_Hall '-P 4 2'
loop_
_atom_site_label
_atom_site_type_symbol
_atom_site_fract_x
_atom_site_fract_y
_atom_site_fract_z
Cs1 Cs 0.0000 0.0000 0.0000
Rb1 Rb 0.0000 0.5000 0.5000
Ta1 Ta 0.0000 0.0000 0.5000
B1 B 0.5000 0.5000 0.0000
```

Properties
- Volume: 310.5 Å³/cell
- DFT formation energy: 2.249 eV per atom
- Final energy: -2.015 eV/atom

(5)
Material: CsBe3Sb
Method: DFT, PBE
State: optimized geometry

```
data_CsBe3Sb
_cell_length_a 5.1416
_cell_length_b 5.1416
_cell_length_c 5.1416
_cell_angle_alpha 90.00
_cell_angle_beta 90.00
_cell_angle_gamma 90.00
_symmetry_space_group_name_H-M 'P m -3 m'
_symmetry_Int_Tables_number 221
_symmetry_space_group_name_Hall '-P 4 2 3'
loop_
_atom_site_label
_atom_site_type_symbol
_atom_site_fract_x
_atom_site_fract_y
_atom_site_fract_z
Cs1 Cs 0.0000 0.0000 0.0000
Be1 Be 0.0000 0.5000 0.5000
Sb1 Sb 0.5000 0.5000 0.5000
```

Properties
- Volume: 135.9 Å³/cell
- ΔE to the lowest computed polymorph: 0 meV/atom
- Uncorrected formation energy: 5.80 eV/f.u.
- Final energy: -2.071 eV/atom

(6)
Material: Nb2CdTcF
Method: DFT, PBE
State: optimized geometry

```
data_Nb2CdTcF
_cell_length_a 4.3410
_cell_length_b 4.3410
_cell_length_c 4.3010
_cell_angle_alpha 90.00
_cell_angle_beta 90.00
_cell_angle_gamma 90.00
_symmetry_space_group_name_H-M 'P 4/m m m'
_symmetry_Int_Tables_number 123
_symmetry_space_group_name_Hall '-P 4 2'
loop_
_atom_site_label
_atom_site_type_symbol
_atom_site_fract_x
_atom_site_fract_y
_atom_site_fract_z
Nb1 Nb 0.0000 0.5000 0.0000
Cd1 Cd 0.0000 0.0000 0.5000
Tc1 Tc 0.5000 0.5000 0.5000
F1 F 0.5000 0.5000 0.0000
```

Properties
- Volume: 81.0 Å³/cell
- Uncorrected formation energy: 1.10 eV/f.u.
- Final energy: -6.438 eV/atom

(7)
Material: PrTm2Zn2
Method: DFT, PBE
State: optimized geometry

```
data_PrTm2Zn2
_cell_length_a 3.6344
_cell_length_b 20.0940
_cell_length_c 3.5444
_cell_angle_alpha 90.00
_cell_angle_beta 90.00
_cell_angle_gamma 90.00
_symmetry_space_group_name_H-M 'C m m m'
_symmetry_Int_Tables_number 65
_symmetry_space_group_name_Hall '-C 2 2'
loop_
_atom_site_label
_atom_site_type_symbol
_atom_site_fract_x
_atom_site_fract_y
_atom_site_fract_z
Pr1 Pr 0.0000 0.0000 0.0000
Tm1 Tm 0.0000 0.1774 0.0000
Zn1 Zn 0.0000 0.4017 0.5000
```

Properties
- Volume: 258.8 Å³/cell
- DFT formation energy: -0.156 eV per atom
- Final energy: -3.410 eV/atom

(8)
Material: ZrTcRu2
Method: DFT, PBE
State: optimized geometry

```
data_ZrTcRu2
_cell_length_a 4.0160
_cell_length_b 4.0160
_cell_length_c 3.9319
_cell_angle_alpha 90.00
_cell_angle_beta 90.00
_cell_angle_gamma 90.00
_symmetry_space_group_name_H-M 'P 4/m m m'
_symmetry_Int_Tables_number 123
_symmetry_space_group_name_Hall '-P 4 2'
loop_
_atom_site_label
_atom_site_type_symbol
_atom_site_fract_x
_atom_site_fract_y
_atom_site_fract_z
Zr1 Zr 0.0000 0.0000 0.0000
Tc1 Tc 0.5000 0.5000 0.0000
Ru1 Ru 0.0000 0.5000 0.5000
```

Properties
- Volume: 63.4 Å³/cell
- ΔE to the lowest computed polymorph: 4 meV/atom
- DFT formation energy: -0.055 eV per atom
- Final energy: -9.422 eV/atom

(9)
Material: Tb6Sm2Er3Zr
Method: DFT, PBE
State: optimized geometry

```
data_Tb6Sm2Er3Zr
_cell_length_a 6.1063
_cell_length_b 10.5584
_cell_length_c 11.6687
_cell_angle_alpha 90.00
_cell_angle_beta 99.95
_cell_angle_gamma 90.00
_symmetry_space_group_name_H-M 'C 1 2/m 1'
_symmetry_Int_Tables_number 12
_symmetry_space_group_name_Hall '-C 2y'
loop_
_atom_site_label
_atom_site_type_symbol
_atom_site_fract_x
_atom_site_fract_y
_atom_site_fract_z
Tb1 Tb 0.2440 0.0000 0.2528
Tb2 Tb 0.2460 0.1634 0.7476
Sm1 Sm 0.0000 0.3333 0.5000
Er1 Er 0.0000 0.1664 0.0000
Er2 Er 0.0000 0.5000 0.0000
Zr1 Zr 0.0000 0.0000 0.5000
```

Properties
- Volume: 741.0 Å³/cell
- DFT formation energy: 0.050 eV per atom
- Final energy: -4.905 eV/atom

(10)
Material: NdHo4In2
Method: DFT, PBE
State: optimized geometry

```
data_NdHo4In2
_cell_length_a 5.0922
_cell_length_b 5.0922
_cell_length_c 31.4033
_cell_angle_alpha 90.00
_cell_angle_beta 90.00
_cell_angle_gamma 120.00
_symmetry_space_group_name_H-M 'R -3 m'
_symmetry_Int_Tables_number 166
_symmetry_space_group_name_Hall '-R 3 2"'
loop_
_atom_site_label
_atom_site_type_symbol
_atom_site_fract_x
_atom_site_fract_y
_atom_site_fract_z
Nd1 Nd 0.0000 0.0000 0.0000
Ho1 Ho 0.0000 0.0000 0.2031
Ho2 Ho 0.0000 0.0000 0.3932
In1 In 0.0000 0.0000 0.1012
```

Properties
- Volume: 705.2 Å³/cell
- ΔE to the lowest computed polymorph: 172 meV/atom
- DFT formation energy: 0.053 eV per atom
- Final energy: -4.027 eV/atom

(11)
Material: Rb3PmHo2Se6
Method: DFT, PBE
State: optimized geometry

```
data_Rb3PmHo2Se6
_cell_length_a 7.3892
_cell_length_b 12.8007
_cell_length_c 8.3718
_cell_angle_alpha 90.00
_cell_angle_beta 107.11
_cell_angle_gamma 90.00
_symmetry_space_group_name_H-M 'C 1 2/m 1'
_symmetry_Int_Tables_number 12
_symmetry_space_group_name_Hall '-C 2y'
loop_
_atom_site_label
_atom_site_type_symbol
_atom_site_fract_x
_atom_site_fract_y
_atom_site_fract_z
Rb1 Rb 0.0000 0.0000 0.0000
Rb2 Rb 0.0000 0.3347 0.0000
Pm1 Pm 0.0000 0.5000 0.5000
Ho1 Ho 0.0000 0.1668 0.5000
Se1 Se 0.2248 0.0000 0.6961
Se2 Se 0.2358 0.3297 0.6965
```

Properties
- Volume: 756.8 Å³/cell
- Uncorrected formation energy: -20.82 eV/f.u.
- Final energy: -4.878 eV/atom

(12)
Material: Na3AgHg3
Method: DFT, PBE
State: optimized geometry

```
data_Na3AgHg3
_cell_length_a 4.1717
_cell_length_b 11.2977
_cell_length_c 15.8926
_cell_angle_alpha 90.00
_cell_angle_beta 90.00
_cell_angle_gamma 90.00
_symmetry_space_group_name_H-M 'C m c m'
_symmetry_Int_Tables_number 63
_symmetry_space_group_name_Hall '-C 2c 2'
loop_
_atom_site_label
_atom_site_type_symbol
_atom_site_fract_x
_atom_site_fract_y
_atom_site_fract_z
Na1 Na 0.0000 0.0368 0.2500
Na2 Na 0.0000 0.3196 0.0958
Ag1 Ag 0.0000 0.0000 0.0000
Hg1 Hg 0.0000 0.2360 0.7500
Hg2 Hg 0.0000 0.3951 0.6003
```

Properties
- Volume: 749.0 Å³/cell
- DFT formation energy: -0.162 eV per atom
- Final energy: -1.264 eV/atom

Which value of final energy does entry 5 give?
-2.071 eV/atom

Which of these has the highest volume?
Rb3PmHo2Se6

Which formula does entry 5 have?
CsBe3Sb

Number 11 is which compound?
Rb3PmHo2Se6